[1]
Below is an optimized crystal structure of KAl2Zn, with properties calculated at the GGA-PBE level.

Cell lengths 6.332, 6.332, 6.332 Å; angles 152.71, 127.61, 60.07 degrees
Sites, in units of the cell vectors:
Al (0.041, 0.041, 0.000)
Al (0.459, 0.459, 0.000)
Zn (0.250, 0.750, 0.500)
K (0.750, 0.250, 0.500)

Properties
- DFT total energy: -8.684 eV per formula unit
- Energy of formation: 0.293 eV/atom

---

[2]
Below is an optimized crystal structure of K2AlZn, with properties calculated at the GGA-PBE level.

Cell lengths 4.512, 4.512, 9.513 Å; angles 77.02, 77.02, 59.93 degrees
Sites, in units of the cell vectors:
K (0.790, 0.790, 0.646)
Al (0.208, 0.208, 0.375)
K (0.960, 0.960, 0.104)
Zn (0.542, 0.542, 0.375)

Properties
- DFT total energy: -6.752 eV per formula unit
- Energy of formation: 0.115 eV/atom
- E above lowest polymorph: 0 meV per atom

---

[3]
Below is an optimized crystal structure of KAlZn, with properties calculated at the GGA-PBE level.

Cell lengths 5.374, 5.374, 5.374 Å; angles 60.00, 60.00, 60.00 degrees
Sites, in units of the cell vectors:
Zn (0.000, 0.000, 0.000)
K (0.250, 0.250, 0.250)
Al (0.500, 0.500, 0.500)

Properties
- DFT total energy: -3.598 eV per formula unit
- Energy of formation: 0.839 eV/atom
- E above lowest polymorph: 768 meV per atom

---

What did the first record say?
Below is an optimized crystal structure of KAl2Zn, with properties calculated at the GGA-PBE level.

Cell lengths 6.332, 6.332, 6.332 Å; angles 152.71, 127.61, 60.07 degrees
Sites, in units of the cell vectors:
Al (0.041, 0.041, 0.000)
Al (0.459, 0.459, 0.000)
Zn (0.250, 0.750, 0.500)
K (0.750, 0.250, 0.500)

Properties
- DFT total energy: -8.684 eV per formula unit
- Energy of formation: 0.293 eV/atom